(1)
A plane-wave DFT calculation with PBE was carried out for SrTl2In2 after structural relaxation.

The structure belongs to space group P4/mbm (No. 127); the cell edges are 8.8612, 8.8612 and 3.9748 Å and the angles 90.00°, 90.00° and 90.00°. The inequivalent atoms are Sr at (0.0000, 0.0000, 0.0000), Tl at (0.1317, 0.3683, 0.0000) and In at (0.1654, 0.6654, 0.5000).

For the energy of formation from the pure elements, the calculation gives -137 meV/atom. For the excess energy over the best structure of this formula in the dataset, the calculation gives 84 meV/atom. As for the final energy: -2.516 eV/atom.

***

(2)
A plane-wave DFT calculation with PBE was carried out for Sr2TlIn2 after structural relaxation.

The structure belongs to space group P4/mbm (No. 127); the cell edges are 9.4462, 9.4462 and 4.0301 Å and the angles 90.00°, 90.00° and 90.00°. The inequivalent atoms are Sr at (0.1793, 0.3207, 0.0000), Tl at (0.0000, 0.0000, 0.0000) and In at (0.1165, 0.6165, 0.5000).

For the energy of formation from the pure elements, the calculation gives -208 meV/atom. For the excess energy over the best structure of this formula in the dataset, the calculation gives 192 meV/atom. As for the final energy: -2.450 eV/atom.

***

(3)
A plane-wave DFT calculation with PBE was carried out for SrTl4In2 after structural relaxation.

The structure belongs to space group Cmmm (No. 65); the cell edges are 5.5015, 21.6777 and 3.6480 Å and the angles 90.00°, 90.00° and 90.00°. The inequivalent atoms are Sr at (0.0000, 0.0000, 0.0000), Tl at (0.0000, 0.1490, 0.5000), Tl at (0.0000, 0.2944, 0.0000) and In at (0.0000, 0.4292, 0.5000).

For the energy of formation from the pure elements, the calculation gives -112 meV/atom. As for the final energy: -2.487 eV/atom.

***

(4)
A plane-wave DFT calculation with PBE was carried out for SrTl3In after structural relaxation.

The structure belongs to space group P6_3/mmc (No. 194); the cell edges are 7.8702, 7.8702 and 6.2558 Å and the angles 90.00°, 90.00° and 120.00°. The inequivalent atoms are Sr at (0.3333, 0.6667, 0.2500), Tl at (0.1953, 0.3907, 0.7500) and In at (0.0000, 0.0000, 0.0000).

For the energy of formation from the pure elements, the calculation gives -99 meV/atom. For the excess energy over the best structure of this formula in the dataset, the calculation gives 117 meV/atom. As for the final energy: -2.403 eV/atom.